(1)
Here is a relaxed structure of TlIn4Pb6 from Alexandria. Energies are from PBE-GGA.

Lattice parameters (Å, degrees): 7.8900 7.8900 12.1103 90.00 90.00 90.00
Space group I-42m (No. 121)
Inequivalent atoms, fractional coordinates:
1 Tl 0.0000 0.0000 0.0000
2 In 0.2472 0.2472 0.3656
3 Pb 0.0000 0.5000 0.0000
4 Pb 0.1514 0.1514 0.6326

- theoretical density (Mg/m³) = 8.40
- spin magnetization (μB per cell) = 0.00
- calculated volume (Å³ per cell) = 753.9



(2)
Here is a relaxed structure of TlIn4Pb6 from Alexandria. Energies are from PBE-GGA.

Lattice parameters (Å, degrees): 9.6157 9.6157 4.3576 90.00 90.00 120.00
Space group P-6m2 (No. 187)
Inequivalent atoms, fractional coordinates:
1 Tl 0.0000 0.0000 0.0000
2 In 0.3333 0.6667 0.0000
3 In 0.3548 0.1774 0.5000
4 Pb 0.1940 0.3879 0.5000
5 Pb 0.5390 0.0779 0.0000

- theoretical density (Mg/m³) = 9.07
- spin magnetization (μB per cell) = 0.00
- calculated volume (Å³ per cell) = 348.9



Most stable structure, least stable structure: (2), (1).



(1)
Here is a relaxed structure of Tl7InPb2 from Alexandria. Energies are from PBE-GGA.

Lattice parameters (Å, degrees): 11.5971 11.5971 11.5971 90.00 90.00 90.00
Space group Fm-3m (No. 225)
Inequivalent atoms, fractional coordinates:
1 Tl 0.0000 0.0000 0.0000
2 Tl 0.0000 0.0000 0.2521
3 In 0.0000 0.0000 0.5000
4 Pb 0.2500 0.2500 0.2500

- theoretical density (Mg/m³) = 8.35
- spin magnetization (μB per cell) = 0.00
- calculated volume (Å³ per cell) = 1559.7



(2)
Here is a relaxed structure of Tl7InPb2 from Alexandria. Energies are from PBE-GGA.

Lattice parameters (Å, degrees): 6.4916 28.6374 3.3762 90.00 90.00 90.00
Space group Cmmm (No. 65)
Inequivalent atoms, fractional coordinates:
1 Tl 0.0000 0.0000 0.0000
2 Tl 0.0000 0.3059 0.5000
3 Tl 0.2457 0.4008 0.0000
4 In 0.0000 0.5000 0.5000
5 Pb 0.0000 0.2031 0.0000

- theoretical density (Mg/m³) = 10.37
- spin magnetization (μB per cell) = 0.00
- calculated volume (Å³ per cell) = 627.6



Most stable structure, least stable structure: (2), (1).



(1)
Here is a relaxed structure of YTlInPb from Alexandria. Energies are from PBE-GGA.

Lattice parameters (Å, degrees): 7.7053 7.7053 7.7053 90.00 90.00 90.00
Space group F-43m (No. 216)
Inequivalent atoms, fractional coordinates:
1 Y 0.0000 0.0000 0.0000
2 Tl 0.2500 0.2500 0.2500
3 In 0.0000 0.0000 0.5000
4 Pb 0.2500 0.2500 0.7500

- theoretical density (Mg/m³) = 8.93
- spin magnetization (μB per cell) = 0.00
- calculated volume (Å³ per cell) = 457.5



(2)
Here is a relaxed structure of YTlInPb from Alexandria. Energies are from PBE-GGA.

Lattice parameters (Å, degrees): 4.5843 4.7589 4.9789 90.00 90.00 90.00
Space group Pmmm (No. 47)
Inequivalent atoms, fractional coordinates:
1 Y 0.0000 0.0000 0.0000
2 Tl 0.5000 0.0000 0.5000
3 In 0.0000 0.5000 0.5000
4 Pb 0.5000 0.5000 0.0000

- theoretical density (Mg/m³) = 9.41
- spin magnetization (μB per cell) = 0.00
- calculated volume (Å³ per cell) = 108.6



Most stable structure, least stable structure: (2), (1).



(1)
Here is a relaxed structure of Tm2InPb3 from Alexandria. Energies are from PBE-GGA.

Lattice parameters (Å, degrees): 4.5629 15.4392 4.6527 90.00 90.00 90.00
Space group Cmmm (No. 65)
Inequivalent atoms, fractional coordinates:
1 Tm 0.0000 0.1504 0.0000
2 In 0.0000 0.0000 0.5000
3 Pb 0.0000 0.3264 0.5000
4 Pb 0.0000 0.5000 0.0000

- theoretical density (Mg/m³) = 10.89
- spin magnetization (μB per cell) = 0.00
- calculated volume (Å³ per cell) = 327.8



(2)
Here is a relaxed structure of Tm2InPb3 from Alexandria. Energies are from PBE-GGA.

Lattice parameters (Å, degrees): 14.3886 10.1884 5.1107 90.00 90.00 90.00
Space group Cmcm (No. 63)
Inequivalent atoms, fractional coordinates:
1 Tm 0.1226 0.1192 0.2500
2 In 0.0000 0.1682 0.7500
3 Pb 0.0000 0.3925 0.2500
4 Pb 0.2368 0.3769 0.2500

- theoretical density (Mg/m³) = 9.52
- spin magnetization (μB per cell) = 0.00
- calculated volume (Å³ per cell) = 749.2



Most stable structure, least stable structure: (1), (2).



(1)
Here is a relaxed structure of Tm4In2Pb from Alexandria. Energies are from PBE-GGA.

Lattice parameters (Å, degrees): 5.2058 5.2058 25.7550 90.00 90.00 120.00
Space group R-3m (No. 166, hexagonal axes)
Inequivalent atoms, fractional coordinates:
1 Tm 0.0000 0.0000 0.1190
2 Tm 0.0000 0.0000 0.3726
3 In 0.0000 0.0000 0.2550
4 Pb 0.0000 0.0000 0.5000

- theoretical density (Mg/m³) = 9.17
- spin magnetization (μB per cell) = 0.00
- calculated volume (Å³ per cell) = 604.5



(2)
Here is a relaxed structure of Tm4In2Pb from Alexandria. Energies are from PBE-GGA.

Lattice parameters (Å, degrees): 5.6241 6.5444 10.7069 90.00 101.50 90.00
Space group P2_1/m (No. 11)
Inequivalent atoms, fractional coordinates:
1 Tm 0.1200 0.2500 0.1355
2 Tm 0.2437 0.7500 0.4451
3 Tm 0.3333 0.0033 0.7306
4 In 0.2142 0.2500 0.4357
5 In 0.4416 0.7500 0.9928
6 Pb 0.0901 0.7500 0.1622

- theoretical density (Mg/m³) = 9.57
- spin magnetization (μB per cell) = 0.00
- calculated volume (Å³ per cell) = 386.2



Most stable structure, least stable structure: (2), (1).



(1)
Here is a relaxed structure of Tm2InPb4 from Alexandria. Energies are from PBE-GGA.

Lattice parameters (Å, degrees): 8.5916 10.0661 4.7360 90.00 90.00 90.00
Space group Cmmm (No. 65)
Inequivalent atoms, fractional coordinates:
1 Tm 0.0000 0.2130 0.0000
2 In 0.0000 0.0000 0.5000
3 Pb 0.1981 0.5000 0.0000
4 Pb 0.2500 0.2500 0.5000

- theoretical density (Mg/m³) = 10.39
- spin magnetization (μB per cell) = 0.00
- calculated volume (Å³ per cell) = 409.6



(2)
Here is a relaxed structure of Tm2InPb4 from Alexandria. Energies are from PBE-GGA.

Lattice parameters (Å, degrees): 16.5728 3.5293 8.1967 90.00 118.95 90.00
Space group C2/m (No. 12)
Inequivalent atoms, fractional coordinates:
1 Tm 0.2193 0.0000 0.1474
2 In 0.0000 0.0000 0.0000
3 Pb 0.0815 0.0000 0.7143
4 Pb 0.1486 0.5000 0.4055

- theoretical density (Mg/m³) = 10.15
- spin magnetization (μB per cell) = 0.00
- calculated volume (Å³ per cell) = 419.5



Most stable structure, least stable structure: (1), (2).



(1)
Here is a relaxed structure of Tm8In2Pb from Alexandria. Energies are from PBE-GGA.

Lattice parameters (Å, degrees): 16.1798 5.2342 8.4327 90.00 120.20 90.00
Space group C2/m (No. 12)
Inequivalent atoms, fractional coordinates:
1 Tm 0.0622 0.0000 0.2179
2 Tm 0.0927 0.5000 0.9584
3 Tm 0.1428 0.0000 0.6865
4 Tm 0.1822 0.5000 0.4439
5 In 0.2211 0.0000 0.1170
6 Pb 0.0000 0.5000 0.5000

- theoretical density (Mg/m³) = 9.62
- spin magnetization (μB per cell) = 0.00
- calculated volume (Å³ per cell) = 617.2



(2)
Here is a relaxed structure of Tm8In2Pb from Alexandria. Energies are from PBE-GGA.

Lattice parameters (Å, degrees): 5.0239 8.5043 14.6165 90.00 90.00 90.00
Space group Immm (No. 71)
Inequivalent atoms, fractional coordinates:
1 Tm 0.0000 0.0000 0.1446
2 Tm 0.0000 0.2144 0.3412
3 Tm 0.0000 0.3065 0.0000
4 In 0.0000 0.5000 0.1960
5 Pb 0.0000 0.5000 0.5000

- theoretical density (Mg/m³) = 9.51
- spin magnetization (μB per cell) = 0.00
- calculated volume (Å³ per cell) = 624.5



Most stable structure, least stable structure: (1), (2).



(1)
Here is a relaxed structure of Tm6InPb from Alexandria. Energies are from PBE-GGA.

Lattice parameters (Å, degrees): 6.9071 11.9850 6.9109 90.00 118.52 90.00
Space group C2/m (No. 12)
Inequivalent atoms, fractional coordinates:
1 Tm 0.2494 0.0000 0.2477
2 Tm 0.2494 0.2895 0.2464
3 In 0.0000 0.5000 0.0000
4 Pb 0.0000 0.0000 0.5000

- theoretical density (Mg/m³) = 8.82
- spin magnetization (μB per cell) = 0.00
- calculated volume (Å³ per cell) = 502.7



(2)
Here is a relaxed structure of Tm6InPb from Alexandria. Energies are from PBE-GGA.

Lattice parameters (Å, degrees): 4.7861 4.7861 9.5681 90.00 90.00 90.00
Space group P4/mmm (No. 123)
Inequivalent atoms, fractional coordinates:
1 Tm 0.0000 0.0000 0.0000
2 Tm 0.0000 0.0000 0.5000
3 Tm 0.0000 0.5000 0.2476
4 In 0.5000 0.5000 0.0000
5 Pb 0.5000 0.5000 0.5000

- theoretical density (Mg/m³) = 10.12
- spin magnetization (μB per cell) = 0.01
- calculated volume (Å³ per cell) = 219.2



Most stable structure, least stable structure: (2), (1).



(1)
Here is a relaxed structure of Tm2InPb2 from Alexandria. Energies are from PBE-GGA.

Lattice parameters (Å, degrees): 4.8935 12.6759 20.5007 90.00 90.00 90.00
Space group Fddd (No. 70, origin choice 2)
Inequivalent atoms, fractional coordinates:
1 Tm 0.1250 0.2740 0.1250
2 In 0.1250 0.1250 0.6250
3 Pb 0.0000 0.0000 0.5000

- theoretical density (Mg/m³) = 9.06
- spin magnetization (μB per cell) = 0.00
- calculated volume (Å³ per cell) = 1271.7



(2)
Here is a relaxed structure of Tm2InPb2 from Alexandria. Energies are from PBE-GGA.

Lattice parameters (Å, degrees): 5.0319 17.1965 3.5802 90.00 90.00 90.00
Space group Pbam (No. 55)
Inequivalent atoms, fractional coordinates:
1 Tm 0.0023 0.1804 0.0000
2 In 0.0000 0.0000 0.0000
3 Pb 0.0023 0.3602 0.5000

- theoretical density (Mg/m³) = 9.30
- spin magnetization (μB per cell) = 0.00
- calculated volume (Å³ per cell) = 309.8



Most stable structure, least stable structure: (2), (1).



(1)
Here is a relaxed structure of Tm2In2Pb from Alexandria. Energies are from PBE-GGA.

Lattice parameters (Å, degrees): 7.7989 7.7989 4.5056 90.00 90.00 90.00
Space group P4/mbm (No. 127)
Inequivalent atoms, fractional coordinates:
1 Tm 0.1677 0.3323 0.0000
2 In 0.1304 0.6304 0.5000
3 Pb 0.0000 0.0000 0.5000

- theoretical density (Mg/m³) = 9.39
- spin magnetization (μB per cell) = 0.00
- calculated volume (Å³ per cell) = 274.0



(2)
Here is a relaxed structure of Tm2In2Pb from Alexandria. Energies are from PBE-GGA.

Lattice parameters (Å, degrees): 4.6839 16.1827 3.4768 90.00 90.00 90.00
Space group Cmmm (No. 65)
Inequivalent atoms, fractional coordinates:
1 Tm 0.0000 0.1163 0.0000
2 In 0.0000 0.3017 0.5000
3 Pb 0.0000 0.5000 0.5000

- theoretical density (Mg/m³) = 9.76
- spin magnetization (μB per cell) = 0.00
- calculated volume (Å³ per cell) = 263.5



Most stable structure, least stable structure: (2), (1).



(1)
Here is a relaxed structure of YTmInPb from Alexandria. Energies are from PBE-GGA.

Lattice parameters (Å, degrees): 7.5951 7.5951 7.5951 90.00 90.00 90.00
Space group F-43m (No. 216)
Inequivalent atoms, fractional coordinates:
1 Y 0.0000 0.0000 0.0000
2 Tm 0.0000 0.0000 0.5000
3 In 0.2500 0.2500 0.2500
4 Pb 0.2500 0.2500 0.7500

- theoretical density (Mg/m³) = 8.79
- spin magnetization (μB per cell) = 0.00
- calculated volume (Å³ per cell) = 438.1



(2)
Here is a relaxed structure of YTmInPb from Alexandria. Energies are from PBE-GGA.

Lattice parameters (Å, degrees): 4.9573 4.9573 8.8144 90.00 90.00 90.00
Space group I-4m2 (No. 119)
Inequivalent atoms, fractional coordinates:
1 Y 0.0000 0.0000 0.0000
2 Tm 0.0000 0.0000 0.5000
3 In 0.0000 0.5000 0.2500
4 Pb 0.0000 0.5000 0.7500

- theoretical density (Mg/m³) = 8.89
- spin magnetization (μB per cell) = 0.00
- calculated volume (Å³ per cell) = 216.6



Most stable structure, least stable structure: (2), (1).



(1)
Here is a relaxed structure of VInPb3 from Alexandria. Energies are from PBE-GGA.

Lattice parameters (Å, degrees): 5.6964 5.6964 5.6964 90.00 90.00 90.00
Space group Pm-3m (No. 221)
Inequivalent atoms, fractional coordinates:
1 V 0.0000 0.0000 0.0000
2 In 0.5000 0.5000 0.5000
3 Pb 0.0000 0.5000 0.5000

- theoretical density (Mg/m³) = 7.07
- spin magnetization (μB per cell) = 3.98
- calculated volume (Å³ per cell) = 184.8



(2)
Here is a relaxed structure of VInPb3 from Alexandria. Energies are from PBE-GGA.

Lattice parameters (Å, degrees): 5.3378 5.3378 5.3378 90.00 90.00 90.00
Space group Pm-3m (No. 221)
Inequivalent atoms, fractional coordinates:
1 V 0.0000 0.0000 0.0000
2 In 0.5000 0.5000 0.5000
3 Pb 0.0000 0.0000 0.5000

- theoretical density (Mg/m³) = 8.60
- spin magnetization (μB per cell) = 0.44
- calculated volume (Å³ per cell) = 152.1



Most stable structure, least stable structure: (2), (1).